This record from Alexandria describes a relaxed structure of Tl3Ir4. The functional is PBE.

Computed properties:
Formation energy from the elements, meV per atom: 1241
Spin magnetization, μB/atom: 0.00
ρ, g/cm3: 16.29

Cell: 5.901 5.901 4.673 Å, 90.00 90.00 120.00°
Fractional positions:
Ir 0.667 0.333 0.500
Ir 0.000 0.000 0.251
Tl 0.500 0.500 0.000
Ir 0.000 0.000 0.749
Ir 0.333 0.667 0.500
Tl 0.000 0.500 0.000
Tl 0.500 0.000 0.000